Na2MnP2O7 | PBE with a Hubbard U | relaxed

- distance to the lowest polymorph of the same formula (meV per atom) = 62
- density of states at the Fermi level (states/eV/cell) = 0.00
- density (g/cm³) = 2.648
- spin magnetization (μB per atom) = 0.417

a = 5.4361 Å, b = 5.4361 Å, c = 7.4298 Å
α = 68.54°, β = 68.54°, γ = 60.00°
Each line ends with the local moment (μB).
Fractional positions:
Na: 0.7579 0.7579 0.7262  0.00
Na: 0.2421 0.2421 0.2738  0.00
Mn: 0.5000 0.5000 0.5000  4.67
P: 0.9207 0.9207 0.2380  0.01
P: 0.0793 0.0793 0.7620  0.01
O: 0.7984 0.3225 0.6996  0.01
O: 0.3225 0.1796 0.6996  0.01
O: 0.6775 0.2016 0.3004  0.01
O: 0.1796 0.7984 0.6996  0.01
O: 0.2016 0.8204 0.3004  0.01
O: 0.8204 0.6775 0.3004  0.01
O: 0.0000 0.0000 0.0000  0.01